[1]
Material: AlC2
Method: DFT, PBE
State: optimized geometry

Geometry as extended XYZ:
```
3
Lattice="2.516 0.000 0.000 -1.258 2.179 0.000 0.000 0.000 8.912" Properties=species:S:1:pos:R:3 pbc="T T T"
Al 0.000 0.000 0.000
C 0.000 1.452 4.456
C 1.258 0.726 4.456
```

Energy relative to the elements   0.9 eV/f.u.
Uncorrected energy   -7.102 eV per atom
Crystal system   hexagonal
Theoretical density   1.73 g cm⁻³
Energy relative to the lowest polymorph listed for this composition   7.7 meV per atom
Total magnetic moment   0.000 μB/atom

---

[2]
Material: HoErAlPt
Method: DFT, PBE
State: optimized geometry

Geometry as extended XYZ:
```
4
Lattice="0.000 3.531 3.531 3.531 0.000 3.531 3.531 3.531 0.000" Properties=species:S:1:pos:R:3 pbc="T T T"
Ho 0.000 0.000 0.000
Er 3.531 3.531 3.531
Al 5.297 5.297 5.297
Pt 1.766 1.766 1.766
```

Energy relative to the elements   -3.0 eV/f.u.
Uncorrected energy   -5.490 eV per atom
Crystal system   cubic
Theoretical density   10.45 g cm⁻³
Total magnetic moment   0.000 μB/atom

---

[3]
Material: RbZrZn2Si
Method: DFT, PBE
State: optimized geometry

Geometry as extended XYZ:
```
5
Lattice="5.330 0.000 0.000 0.000 5.330 0.000 0.000 0.000 6.375" Properties=species:S:1:pos:R:3 pbc="T T T"
Rb 0.000 0.000 0.000
Zr 0.000 0.000 3.187
Zn 0.000 2.665 3.187
Zn 2.665 0.000 3.187
Si 2.665 2.665 0.000
```

Uncorrected energy   -2.113 eV per atom
Formation energy without anion corrections   1.385 eV per atom
Crystal system   tetragonal
Theoretical density   3.08 g cm⁻³
Total magnetic moment   0.122 μB/atom

---

[4]
Material: Sm2LuBe
Method: DFT, PBE
State: optimized geometry

Geometry as extended XYZ:
```
4
Lattice="3.532 0.000 0.000 0.000 3.532 0.000 0.000 0.000 8.476" Properties=species:S:1:pos:R:3 pbc="T T T"
Sm 0.000 0.000 1.686
Sm 0.000 0.000 6.790
Lu 1.766 1.766 4.238
Be 1.766 1.766 0.000
```

Energy relative to the elements   0.4 eV/f.u.
Uncorrected energy   -4.311 eV per atom
Crystal system   tetragonal
Theoretical density   7.61 g cm⁻³
Total magnetic moment   0.000 μB/atom

---

[5]
Material: BaBeW2
Method: DFT, PBE
State: optimized geometry

Geometry as extended XYZ:
```
4
Lattice="3.492 -2.016 0.000 3.492 2.016 0.000 -2.336 0.000 6.767" Properties=species:S:1:pos:R:3 pbc="T T T"
Ba 0.000 0.000 0.000
Be 2.324 0.000 3.383
W -0.003 0.000 3.992
W 4.651 0.000 2.775
```

Energy relative to the elements   3.0 eV/f.u.
Uncorrected energy   -7.137 eV per atom
Crystal system   monoclinic
Theoretical density   8.96 g cm⁻³
Total magnetic moment   0.000 μB/atom

---

[6]
Material: NaCaMg2Ag
Method: DFT, PBE
State: optimized geometry

Geometry as extended XYZ:
```
5
Lattice="5.286 0.000 0.000 0.000 5.286 0.000 0.000 0.000 5.685" Properties=species:S:1:pos:R:3 pbc="T T T"
Na 0.000 0.000 0.000
Ca 2.643 2.643 0.000
Mg 0.000 2.643 2.842
Mg 2.643 0.000 2.842
Ag 2.643 2.643 2.842
```

Energy relative to the elements   0.2 eV/f.u.
Uncorrected energy   -1.832 eV per atom
Crystal system   tetragonal
Theoretical density   2.29 g cm⁻³
Total magnetic moment   0.000 μB/atom

---

[7]
Material: Np2Zn16Sn
Method: DFT, PBE
State: optimized geometry

Geometry as extended XYZ:
```
19
Lattice="4.580 2.644 4.385 -4.580 2.644 4.385 0.000 -5.289 4.385" Properties=species:S:1:pos:R:3 pbc="T T T"
Np 0.000 0.000 0.000
Np 0.000 0.000 4.259
Zn 0.000 -2.576 2.297
Zn -2.231 1.288 2.297
Zn -2.396 -1.383 6.545
Zn 0.000 -2.808 6.379
Zn -2.432 1.404 6.379
Zn -1.410 -2.458 8.735
Zn -2.834 0.008 8.735
Zn 2.231 1.288 2.297
Zn 1.410 -2.458 8.735
Zn -1.424 2.450 8.735
Zn 2.396 -1.383 6.545
Zn 0.000 2.766 6.545
Zn 0.000 0.000 10.115
Zn 2.432 1.404 6.379
Zn 2.834 0.008 8.735
Zn 1.424 2.450 8.735
Sn 0.000 0.000 7.404
```

Energy relative to the elements   -0.8 eV/f.u.
Uncorrected energy   -2.690 eV per atom
Crystal system   trigonal
Theoretical density   8.54 g cm⁻³
Total magnetic moment   0.451 μB/atom

---

[8]
Material: KMnTe2
Method: DFT, PBE
State: optimized geometry

Geometry as extended XYZ:
```
4
Lattice="0.000 3.875 3.875 3.875 0.000 3.875 3.875 3.875 0.000" Properties=species:S:1:pos:R:3 pbc="T T T"
K 0.000 0.000 0.000
Mn 5.813 5.813 5.813
Te 1.938 1.938 1.938
Te 3.875 3.875 3.875
```

Uncorrected energy   -3.861 eV per atom
Formation energy without anion corrections   0.276 eV per atom
Crystal system   cubic
Theoretical density   4.98 g cm⁻³
Total magnetic moment   1.068 μB/atom

---

[9]
Material: PIr2Os
Method: DFT, PBE
State: optimized geometry

Geometry as extended XYZ:
```
4
Lattice="-1.926 1.926 3.811 1.926 -1.926 3.811 1.926 1.926 -3.811" Properties=species:S:1:pos:R:3 pbc="T T T"
P 0.000 0.000 0.000
Ir 1.926 0.000 1.906
Ir 0.000 1.926 1.906
Os 0.000 0.000 3.811
```

Energy relative to the elements   1.4 eV/f.u.
Uncorrected energy   -8.239 eV per atom
Crystal system   tetragonal
Theoretical density   17.78 g cm⁻³
Total magnetic moment   0.000 μB/atom

---

[10]
Material: TiNb2CrN
Method: DFT, PBE
State: optimized geometry

Geometry as extended XYZ:
```
5
Lattice="4.927 0.000 0.000 0.000 4.927 0.000 0.000 0.000 3.734" Properties=species:S:1:pos:R:3 pbc="T T T"
Ti 0.000 0.000 0.000
Nb 0.000 2.463 0.000
Nb 2.463 0.000 0.000
Cr 2.463 2.463 1.867
N 0.000 0.000 1.867
```

Uncorrected energy   -7.962 eV per atom
Formation energy without anion corrections   1.235 eV per atom
Crystal system   tetragonal
Theoretical density   5.49 g cm⁻³
Energy relative to the lowest polymorph listed for this composition   1611.6 meV per atom
Total magnetic moment   0.312 μB/atom

---

[11]
Material: Er5AlAu4
Method: DFT, PBE
State: optimized geometry

Geometry as extended XYZ:
```
10
Lattice="3.554 0.000 0.000 0.000 3.554 0.000 0.000 0.000 18.019" Properties=species:S:1:pos:R:3 pbc="T T T"
Er 0.000 0.000 0.000
Er 0.000 0.000 3.604
Er 0.000 0.000 7.172
Er 0.000 0.000 10.848
Er 0.000 0.000 14.415
Al 1.777 1.777 9.010
Au 1.777 1.777 1.784
Au 1.777 1.777 5.449
Au 1.777 1.777 12.570
Au 1.777 1.777 16.235
```

Energy relative to the elements   -7.8 eV/f.u.
Uncorrected energy   -4.749 eV per atom
Crystal system   tetragonal
Theoretical density   12.05 g cm⁻³
Total magnetic moment   0.000 μB/atom

---

[12]
Material: Nd3MgCd4
Method: DFT, PBE
State: optimized geometry

Geometry as extended XYZ:
```
8
Lattice="2.650 1.530 8.911 -2.650 1.530 8.911 0.000 -3.060 8.911" Properties=species:S:1:pos:R:3 pbc="T T T"
Nd 0.000 0.000 0.000
Nd 0.000 0.000 6.536
Nd 0.000 0.000 20.196
Mg 0.000 0.000 13.366
Cd 0.000 0.000 3.358
Cd 0.000 0.000 10.055
Cd 0.000 0.000 16.676
Cd 0.000 0.000 23.374
```

Energy relative to the elements   -2.4 eV/f.u.
Uncorrected energy   -2.742 eV per atom
Crystal system   trigonal
Theoretical density   6.95 g cm⁻³
Total magnetic moment   0.000 μB/atom

---

[13]
Material: AcDyTe2
Method: DFT, PBE
State: optimized geometry

Geometry as extended XYZ:
```
4
Lattice="2.289 1.322 9.900 -2.289 1.322 9.900 0.000 -2.643 9.900" Properties=species:S:1:pos:R:3 pbc="T T T"
Ac 0.000 0.000 0.000
Dy 0.000 0.000 14.850
Te 0.000 0.000 11.873
Te 0.000 0.000 17.826
```

Uncorrected energy   -4.625 eV per atom
Formation energy without anion corrections   -0.876 eV per atom
Crystal system   trigonal
Theoretical density   5.96 g cm⁻³
Energy relative to the lowest polymorph listed for this composition   506.6 meV per atom
Total magnetic moment   0.000 μB/atom

---

[14]
Material: LaCoIr
Method: DFT, PBE
State: optimized geometry

Geometry as extended XYZ:
```
3
Lattice="-1.726 1.726 4.944 1.726 -1.726 4.944 1.726 1.726 -4.944" Properties=species:S:1:pos:R:3 pbc="T T T"
La 0.000 0.000 0.000
Co 0.000 0.000 2.715
Ir 0.000 0.000 7.026
```

Energy relative to the elements   -0.1 eV/f.u.
Uncorrected energy   -6.990 eV per atom
Crystal system   tetragonal
Theoretical density   10.99 g cm⁻³
Total magnetic moment   0.431 μB/atom

---

[15]
Material: Dy2MgBe
Method: DFT, PBE
State: optimized geometry

Geometry as extended XYZ:
```
4
Lattice="0.000 3.595 3.595 3.595 0.000 3.595 3.595 3.595 0.000" Properties=species:S:1:pos:R:3 pbc="T T T"
Dy 1.798 1.798 1.798
Dy 5.393 5.393 5.393
Mg 0.000 0.000 0.000
Be 3.595 3.595 3.595
```

Energy relative to the elements   0.4 eV/f.u.
Uncorrected energy   -3.541 eV per atom
Crystal system   cubic
Theoretical density   6.40 g cm⁻³
Energy relative to the lowest polymorph listed for this composition   88.4 meV per atom
Total magnetic moment   0.000 μB/atom

---

[16]
Material: Ba8PtRh2
Method: DFT, PBE
State: optimized geometry

Geometry as extended XYZ:
```
11
Lattice="8.228 -4.232 0.000 8.228 4.232 0.000 -2.278 0.000 7.174" Properties=species:S:1:pos:R:3 pbc="T T T"
Ba 0.795 0.000 2.192
Ba 5.839 2.011 0.956
Ba 4.227 0.000 4.440
Ba 8.339 2.011 6.218
Ba 5.839 -2.011 0.956
Ba 9.951 0.000 2.734
Ba 8.339 -2.011 6.218
Ba 13.383 0.000 4.982
Pt 8.228 0.000 0.000
Rh 3.463 0.000 1.317
Rh 10.715 0.000 5.858
```

Energy relative to the elements   -2.1 eV/f.u.
Uncorrected energy   -3.473 eV per atom
Crystal system   monoclinic
Theoretical density   4.98 g cm⁻³
Energy relative to the lowest polymorph listed for this composition   81.7 meV per atom
Total magnetic moment   0.000 μB/atom

---

[17]
Material: FeNiPdBr2
Method: DFT, PBE
State: optimized geometry

Geometry as extended XYZ:
```
5
Lattice="4.707 0.000 0.000 0.000 4.707 0.000 0.000 0.000 4.687" Properties=species:S:1:pos:R:3 pbc="T T T"
Fe 0.000 0.000 0.000
Ni 0.000 0.000 2.343
Pd 2.354 2.354 0.000
Br 0.000 2.354 2.343
Br 2.354 0.000 2.343
```

Uncorrected energy   -3.869 eV per atom
Formation energy without anion corrections   0.688 eV per atom
Crystal system   tetragonal
Theoretical density   6.09 g cm⁻³
Total magnetic moment   0.691 μB/atom

---

[18]
Material: TlIrO4
Method: DFT, PBE
State: optimized geometry

Geometry as extended XYZ:
```
6
Lattice="-1.901 1.901 6.262 1.901 -1.901 6.262 1.901 1.901 -6.262" Properties=species:S:1:pos:R:3 pbc="T T T"
Tl 0.000 0.000 0.000
Ir 0.000 1.901 3.131
O 0.000 0.000 3.000
O 0.000 1.901 1.105
O 0.000 0.000 9.524
O 0.000 1.901 5.157
```

Uncorrected energy   -5.750 eV per atom
Formation energy without anion corrections   -0.573 eV per atom
Crystal system   tetragonal
Theoretical density   8.45 g cm⁻³
Energy relative to the lowest polymorph listed for this composition   87.7 meV per atom
Total magnetic moment   0.000 μB/atom

---

[19]
Material: BeCuSi2
Method: DFT, PBE
State: optimized geometry

Geometry as extended XYZ:
```
4
Lattice="2.442 0.000 0.000 0.000 4.372 0.000 0.000 0.000 4.777" Properties=species:S:1:pos:R:3 pbc="T T T"
Be 0.000 0.000 0.000
Cu 1.221 0.000 2.388
Si 0.000 2.186 2.388
Si 1.221 2.186 0.000
```

Uncorrected energy   -4.290 eV per atom
Formation energy without anion corrections   0.377 eV per atom
Crystal system   orthorhombic
Theoretical density   4.19 g cm⁻³
Total magnetic moment   0.000 μB/atom

---

[20]
Material: Na6SbCl12
Method: DFT, PBE
State: optimized geometry

Geometry as extended XYZ:
```
19
Lattice="6.009 3.470 4.379 -6.009 3.470 4.379 0.000 -6.939 4.379" Properties=species:S:1:pos:R:3 pbc="T T T"
Na -4.359 -1.155 7.275
Na -1.180 -4.353 5.861
Na -3.180 3.198 5.861
Na 3.180 -3.198 7.275
Na 1.180 4.353 7.275
Na 4.359 1.155 5.861
Sb 0.000 0.000 6.568
Cl -4.891 1.053 5.687
Cl -3.357 -3.709 7.449
Cl -1.417 -1.367 5.168
Cl 1.534 -4.762 5.687
Cl -0.475 1.911 5.168
Cl -1.892 0.544 7.968
Cl 1.892 -0.544 5.168
Cl 0.475 -1.911 7.968
Cl -1.534 4.762 7.449
Cl 1.417 1.367 7.968
Cl 3.357 3.709 5.687
Cl 4.891 -1.053 7.449
```

Uncorrected energy   -3.075 eV per atom
Formation energy without anion corrections   -1.275 eV per atom
Crystal system   trigonal
Theoretical density   2.08 g cm⁻³
Total magnetic moment   0.064 μB/atom

---

[21]
Material: Li2AgAsP
Method: DFT, PBE
State: optimized geometry

Geometry as extended XYZ:
```
5
Lattice="4.787 0.000 0.000 0.000 4.787 0.000 0.000 0.000 4.542" Properties=species:S:1:pos:R:3 pbc="T T T"
Li 0.000 2.394 0.000
Li 2.394 0.000 0.000
Ag 0.000 0.000 0.000
As 2.394 2.394 2.271
P 0.000 0.000 2.271
```

Energy relative to the elements   1.4 eV/f.u.
Uncorrected energy   -3.064 eV per atom
Crystal system   tetragonal
Theoretical density   3.63 g cm⁻³
Total magnetic moment   0.000 μB/atom

---

[22]
Material: HfNbTeN2
Method: DFT, PBE
State: optimized geometry

Geometry as extended XYZ:
```
5
Lattice="4.086 0.000 0.000 0.000 4.086 0.000 0.000 0.000 5.517" Properties=species:S:1:pos:R:3 pbc="T T T"
Hf 0.000 0.000 0.000
Nb 2.043 2.043 2.758
Te 2.043 2.043 0.000
N 0.000 2.043 2.758
N 2.043 0.000 2.758
```

Uncorrected energy   -7.577 eV per atom
Formation energy without anion corrections   0.386 eV per atom
Crystal system   tetragonal
Theoretical density   7.70 g cm⁻³
Energy relative to the lowest polymorph listed for this composition   0.0 meV per atom
Total magnetic moment   0.000 μB/atom

---

[23]
Material: Al2RhAu
Method: DFT, PBE
State: optimized geometry

Geometry as extended XYZ:
```
4
Lattice="2.823 0.000 0.000 0.000 3.027 0.000 0.000 0.000 7.667" Properties=species:S:1:pos:R:3 pbc="T T T"
Al 0.000 0.000 1.569
Al 0.000 0.000 6.098
Rh 1.412 1.514 0.000
Au 1.412 0.000 3.833
```

Energy relative to the elements   -2.5 eV/f.u.
Uncorrected energy   -5.157 eV per atom
Crystal system   orthorhombic
Theoretical density   8.97 g cm⁻³
Energy relative to the lowest polymorph listed for this composition   50.3 meV per atom
Total magnetic moment   0.000 μB/atom

---

[24]
Material: SmHoZr2
Method: DFT, PBE
State: optimized geometry

Geometry as extended XYZ:
```
4
Lattice="1.677 0.968 11.006 -1.677 0.968 11.006 0.000 -1.937 11.006" Properties=species:S:1:pos:R:3 pbc="T T T"
Sm 0.000 0.000 0.000
Ho 0.000 0.000 16.509
Zr 0.000 0.000 8.230
Zr 0.000 0.000 24.788
```

Energy relative to the elements   0.6 eV/f.u.
Uncorrected energy   -6.451 eV per atom
Crystal system   trigonal
Theoretical density   7.71 g cm⁻³
Energy relative to the lowest polymorph listed for this composition   1.3 meV per atom
Total magnetic moment   0.000 μB/atom

---

[25]
Material: KWI2N
Method: DFT, PBE
State: optimized geometry

Geometry as extended XYZ:
```
5
Lattice="6.188 0.000 0.000 0.000 6.188 0.000 0.000 0.000 4.735" Properties=species:S:1:pos:R:3 pbc="T T T"
K 0.000 0.000 0.000
W 3.094 3.094 2.367
I 0.000 3.094 0.000
I 3.094 0.000 0.000
N 0.000 0.000 2.367
```

Uncorrected energy   -2.845 eV per atom
Formation energy without anion corrections   2.250 eV per atom
Crystal system   tetragonal
Theoretical density   4.49 g cm⁻³
Energy relative to the lowest polymorph listed for this composition   2407.5 meV per atom
Total magnetic moment   1.030 μB/atom

---

Number 1: volume 16.283 Å³ per atom. Number 2: volume 22.017 Å³ per atom. Number 3: volume 36.223 Å³ per atom. Number 4: volume 26.431 Å³ per atom. Number 5: volume 23.812 Å³ per atom. Number 6: volume 31.772 Å³ per atom. Number 7: volume 16.772 Å³ per atom. Number 8: volume 29.100 Å³ per atom. Number 9: volume 14.143 Å³ per atom. Number 10: volume 18.130 Å³ per atom. Number 11: volume 22.755 Å³ per atom. Number 12: volume 27.098 Å³ per atom. Number 13: volume 44.927 Å³ per atom. Number 14: volume 19.648 Å³ per atom. Number 15: volume 23.237 Å³ per atom. Number 16: volume 45.425 Å³ per atom. Number 17: volume 20.770 Å³ per atom. Number 18: volume 15.083 Å³ per atom. Number 19: volume 12.749 Å³ per atom. Number 20: volume 28.831 Å³ per atom. Number 21: volume 20.819 Å³ per atom. Number 22: volume 18.419 Å³ per atom. Number 23: volume 16.379 Å³ per atom. Number 24: volume 26.813 Å³ per atom. Number 25: volume 36.262 Å³ per atom.